[1]
# Nd4AlTlZn2 | Alexandria | PBE-GGA | optimized geometry
# DFT total energy = -3.799 eV/atom
# DFT formation energy = -0.3331 eV per atom
data_Nd4AlTlZn2
_chemical_formula_sum 'Nd12 Al3 Tl3 Zn6'
_symmetry_space_group_name_H-M 'R -3 m'
_symmetry_Int_Tables_number 166
_symmetry_space_group_name_Hall '-R 3 2"'
_cell_length_a 5.3209
_cell_length_b 5.3209
_cell_length_c 26.1760
_cell_angle_alpha 90.00
_cell_angle_beta 90.00
_cell_angle_gamma 120.00
loop_
_atom_site_label
_atom_site_type_symbol
_atom_site_fract_x
_atom_site_fract_y
_atom_site_fract_z
Nd1 Nd 0.0000 0.0000 0.1213
Nd2 Nd 0.0000 0.0000 0.3713
Al1 Al 0.0000 0.0000 0.0000
Tl1 Tl 0.0000 0.0000 0.5000
Zn1 Zn 0.0000 0.0000 0.2507



[2]
# Sr4AlZn | Alexandria | PBE-GGA | optimized geometry
# DFT total energy = -1.365 eV/atom
# ΔE to the lowest computed polymorph = 409 kJ/mol of formula units
# DFT formation energy = 0.5922 eV per atom
data_Sr4AlZn
_chemical_formula_sum 'Sr16 Al4 Zn4'
_symmetry_space_group_name_H-M 'F -4 3 m'
_symmetry_Int_Tables_number 216
_symmetry_space_group_name_Hall 'F -4 2 3'
_cell_length_a 10.081
_cell_length_b 10.081
_cell_length_c 10.081
_cell_angle_alpha 90.00
_cell_angle_beta 90.00
_cell_angle_gamma 90.00
loop_
_atom_site_label
_atom_site_type_symbol
_atom_site_fract_x
_atom_site_fract_y
_atom_site_fract_z
Sr1 Sr 0.124 0.124 0.376
Al1 Al 0.250 0.250 0.750
Zn1 Zn 0.000 0.000 0.000



[3]
# CaZnSn4 | Alexandria | PBE-GGA | optimized geometry
# DFT total energy = -3.272 eV/atom
# DFT formation energy = -0.0571 eV per atom
data_CaZnSn4
_chemical_formula_sum 'Ca4 Zn4 Sn16'
_symmetry_space_group_name_H-M 'F -4 3 m'
_symmetry_Int_Tables_number 216
_symmetry_space_group_name_Hall 'F -4 2 3'
_cell_length_a 8.767
_cell_length_b 8.767
_cell_length_c 8.767
_cell_angle_alpha 90.00
_cell_angle_beta 90.00
_cell_angle_gamma 90.00
loop_
_atom_site_label
_atom_site_type_symbol
_atom_site_fract_x
_atom_site_fract_y
_atom_site_fract_z
Ca1 Ca 0.000 0.000 0.000
Zn1 Zn 0.250 0.250 0.250
Sn1 Sn 0.125 0.125 0.625



[4]
# BaIn2Ag3 | Alexandria | PBE-GGA | optimized geometry
# DFT total energy = -2.859 eV/atom
# DFT formation energy = -0.2000 eV per atom
data_BaIn2Ag3
_chemical_formula_sum 'Ba2 In4 Ag6'
_symmetry_space_group_name_H-M 'P 63/m m c'
_symmetry_Int_Tables_number 194
_symmetry_space_group_name_Hall '-P 6c 2c'
_cell_length_a 4.8438
_cell_length_b 4.8438
_cell_length_c 15.5721
_cell_angle_alpha 90.00
_cell_angle_beta 90.00
_cell_angle_gamma 120.00
loop_
_atom_site_label
_atom_site_type_symbol
_atom_site_fract_x
_atom_site_fract_y
_atom_site_fract_z
Ba1 Ba 0.0000 0.0000 0.2500
In1 In 0.3333 0.6667 0.0996
Ag1 Ag 0.0000 0.0000 0.0000
Ag2 Ag 0.3333 0.6667 0.5860



[5]
# Sm5Ge2Au | Alexandria | PBE-GGA | optimized geometry
# DFT total energy = -5.179 eV/atom
# DFT formation energy = -0.6659 eV per atom
data_Sm5Ge2Au
_chemical_formula_sum 'Sm20 Ge8 Au4'
_symmetry_space_group_name_H-M 'I 4/m c m'
_symmetry_Int_Tables_number 140
_symmetry_space_group_name_Hall '-I 4 2c'
_cell_length_a 7.697
_cell_length_b 7.697
_cell_length_c 14.607
_cell_angle_alpha 90.00
_cell_angle_beta 90.00
_cell_angle_gamma 90.00
loop_
_atom_site_label
_atom_site_type_symbol
_atom_site_fract_x
_atom_site_fract_y
_atom_site_fract_z
Sm1 Sm 0.000 0.000 0.000
Sm2 Sm 0.171 0.329 0.144
Ge1 Ge 0.128 0.372 0.500
Au1 Au 0.000 0.000 0.250



[6]
# DyNi2Rh | Alexandria | PBE-GGA | optimized geometry
# DFT total energy = -5.909 eV/atom
# DFT formation energy = -0.0303 eV per atom
data_DyNi2Rh
_chemical_formula_sum 'Dy2 Ni4 Rh2'
_symmetry_space_group_name_H-M 'C m m m'
_symmetry_Int_Tables_number 65
_symmetry_space_group_name_Hall '-C 2 2'
_cell_length_a 5.117
_cell_length_b 6.069
_cell_length_c 4.415
_cell_angle_alpha 90.00
_cell_angle_beta 90.00
_cell_angle_gamma 90.00
loop_
_atom_site_label
_atom_site_type_symbol
_atom_site_fract_x
_atom_site_fract_y
_atom_site_fract_z
Dy1 Dy 0.000 0.000 0.000
Ni1 Ni 0.000 0.304 0.500
Rh1 Rh 0.000 0.500 0.000